La2Ga3AgGe4, relaxed, DFT PBE; SG = P-4m2, No. 115; DFT formation energy = -371 meV/atom
1.0
-4.109 1.639 0.027
-1.639 -4.108 0.060
0.118 0.116 11.107
Ge Ga Ag La
4 3 1 2
direct
0.500 0.000 0.644
0.500 0.500 0.000
0.000 0.000 0.000
0.000 0.500 0.356
0.500 0.000 0.872
0.000 0.500 0.128
0.000 0.000 0.500
0.500 0.500 0.500
0.000 0.500 0.755
0.500 0.000 0.245